(1)
# TbPm2PrSm5 GGA-PBE relaxed
# energy of formation: 267 meV/atom
data_TbPm2PrSm5
_symmetry_space_group_name_H-M 'I 4/m c m'
_symmetry_Int_Tables_number 140
_symmetry_space_group_name_Hall '-I 4 2c'
_cell_length_a 8.875
_cell_length_b 8.875
_cell_length_c 15.687
_cell_angle_alpha 90.00
_cell_angle_beta 90.00
_cell_angle_gamma 90.00
loop_
_atom_site_label
_atom_site_type_symbol
_atom_site_fract_x
_atom_site_fract_y
_atom_site_fract_z
Tb1 Tb 0.000 0.500 0.250
Pm1 Pm 0.117 0.383 0.000
Pr1 Pr 0.000 0.000 0.250
Sm1 Sm 0.000 0.000 0.000
Sm2 Sm 0.208 0.292 0.363

---

(2)
# Tb2Pm2PrSm GGA-PBE relaxed
# energy of formation: 258 meV/atom
data_Tb2Pm2PrSm
_symmetry_space_group_name_H-M 'P n n m'
_symmetry_Int_Tables_number 58
_symmetry_space_group_name_Hall '-P 2 2n'
_cell_length_a 6.648
_cell_length_b 18.202
_cell_length_c 3.429
_cell_angle_alpha 90.00
_cell_angle_beta 90.00
_cell_angle_gamma 90.00
loop_
_atom_site_label
_atom_site_type_symbol
_atom_site_fract_x
_atom_site_fract_y
_atom_site_fract_z
Tb1 Tb 0.220 0.148 0.000
Pm1 Pm 0.222 0.313 0.500
Pr1 Pr 0.000 0.500 0.500
Sm1 Sm 0.000 0.000 0.500

---

(3)
# Tb5Pm2PrSm GGA-PBE relaxed
# energy of formation: 256 meV/atom
data_Tb5Pm2PrSm
_symmetry_space_group_name_H-M 'I 4/m c m'
_symmetry_Int_Tables_number 140
_symmetry_space_group_name_Hall '-I 4 2c'
_cell_length_a 8.785
_cell_length_b 8.785
_cell_length_c 15.578
_cell_angle_alpha 90.00
_cell_angle_beta 90.00
_cell_angle_gamma 90.00
loop_
_atom_site_label
_atom_site_type_symbol
_atom_site_fract_x
_atom_site_fract_y
_atom_site_fract_z
Tb1 Tb 0.000 0.000 0.000
Tb2 Tb 0.208 0.292 0.136
Pm1 Pm 0.117 0.383 0.500
Pr1 Pr 0.000 0.000 0.250
Sm1 Sm 0.000 0.500 0.250

---

(4)
# Tb2Pm4Pr2Sm GGA-PBE relaxed
# energy of formation: 5 meV/atom
data_Tb2Pm4Pr2Sm
_symmetry_space_group_name_H-M 'C 1 2/m 1'
_symmetry_Int_Tables_number 12
_symmetry_space_group_name_Hall '-C 2y'
_cell_length_a 19.062
_cell_length_b 3.676
_cell_length_c 9.766
_cell_angle_alpha 90.00
_cell_angle_beta 115.69
_cell_angle_gamma 90.00
loop_
_atom_site_label
_atom_site_type_symbol
_atom_site_fract_x
_atom_site_fract_y
_atom_site_fract_z
Tb1 Tb 0.148 0.000 0.166
Pm1 Pm 0.019 0.500 0.835
Pm2 Pm 0.186 0.000 0.834
Pr1 Pr 0.166 0.500 0.499
Sm1 Sm 0.000 0.000 0.500

---

(5)
# Tb4PmPr2Sm GGA-PBE relaxed
# energy of formation: 15 meV/atom
data_Tb4PmPr2Sm
_symmetry_space_group_name_H-M 'P 1 2/m 1'
_symmetry_Int_Tables_number 10
_symmetry_space_group_name_Hall '-P 2y'
_cell_length_a 6.268
_cell_length_b 3.630
_cell_length_c 11.951
_cell_angle_alpha 90.00
_cell_angle_beta 100.25
_cell_angle_gamma 90.00
loop_
_atom_site_label
_atom_site_type_symbol
_atom_site_fract_x
_atom_site_fract_y
_atom_site_fract_z
Tb1 Tb 0.249 0.000 0.250
Tb2 Tb 0.250 0.500 0.749
Pm1 Pm 0.000 0.500 0.000
Pr1 Pr 0.500 0.000 0.000
Pr2 Pr 0.500 0.500 0.500
Sm1 Sm 0.000 0.000 0.500

---

(6)
# TbPmPr5Sm2 GGA-PBE relaxed
# energy of formation: 277 meV/atom
data_TbPmPr5Sm2
_symmetry_space_group_name_H-M 'I 4/m c m'
_symmetry_Int_Tables_number 140
_symmetry_space_group_name_Hall '-I 4 2c'
_cell_length_a 8.931
_cell_length_b 8.931
_cell_length_c 16.002
_cell_angle_alpha 90.00
_cell_angle_beta 90.00
_cell_angle_gamma 90.00
loop_
_atom_site_label
_atom_site_type_symbol
_atom_site_fract_x
_atom_site_fract_y
_atom_site_fract_z
Tb1 Tb 0.000 0.500 0.250
Pm1 Pm 0.000 0.000 0.250
Pr1 Pr 0.000 0.000 0.000
Pr2 Pr 0.208 0.292 0.139
Sm1 Sm 0.117 0.383 0.500

---

(7)
# Tb3Pm2Pr6Sm GGA-PBE relaxed
# energy of formation: 12 meV/atom
data_Tb3Pm2Pr6Sm
_symmetry_space_group_name_H-M 'C 1 2/m 1'
_symmetry_Int_Tables_number 12
_symmetry_space_group_name_Hall '-C 2y'
_cell_length_a 6.353
_cell_length_b 11.010
_cell_length_c 12.050
_cell_angle_alpha 90.00
_cell_angle_beta 100.13
_cell_angle_gamma 90.00
loop_
_atom_site_label
_atom_site_type_symbol
_atom_site_fract_x
_atom_site_fract_y
_atom_site_fract_z
Tb1 Tb 0.000 0.000 0.000
Tb2 Tb 0.000 0.333 0.000
Pm1 Pm 0.000 0.167 0.500
Pr1 Pr 0.249 0.167 0.248
Pr2 Pr 0.249 0.500 0.248
Sm1 Sm 0.000 0.500 0.500

---

(8)
# TbPm2Pr6Sm GGA-PBE relaxed
# energy of formation: 111 meV/atom
data_TbPm2Pr6Sm
_symmetry_space_group_name_H-M 'C 1 2/c 1'
_symmetry_Int_Tables_number 15
_symmetry_space_group_name_Hall '-C 2yc'
_cell_length_a 9.322
_cell_length_b 15.485
_cell_length_c 9.938
_cell_angle_alpha 90.00
_cell_angle_beta 98.65
_cell_angle_gamma 90.00
loop_
_atom_site_label
_atom_site_type_symbol
_atom_site_fract_x
_atom_site_fract_y
_atom_site_fract_z
Tb1 Tb 0.000 0.092 0.250
Pm1 Pm 0.244 0.451 0.044
Pr1 Pr 0.066 0.318 0.446
Pr2 Pr 0.100 0.104 0.619
Pr3 Pr 0.209 0.278 0.811
Sm1 Sm 0.000 0.479 0.750

---

(9)
# TbPmPr2Sm5 GGA-PBE relaxed
# energy of formation: 263 meV/atom
data_TbPmPr2Sm5
_symmetry_space_group_name_H-M 'I 4/m c m'
_symmetry_Int_Tables_number 140
_symmetry_space_group_name_Hall '-I 4 2c'
_cell_length_a 8.784
_cell_length_b 8.784
_cell_length_c 16.090
_cell_angle_alpha 90.00
_cell_angle_beta 90.00
_cell_angle_gamma 90.00
loop_
_atom_site_label
_atom_site_type_symbol
_atom_site_fract_x
_atom_site_fract_y
_atom_site_fract_z
Tb1 Tb 0.000 0.500 0.250
Pm1 Pm 0.000 0.000 0.250
Pr1 Pr 0.119 0.381 0.000
Sm1 Sm 0.000 0.000 0.000
Sm2 Sm 0.211 0.289 0.360

---

(10)
# Tb2Pm2Pr4Sm GGA-PBE relaxed
# energy of formation: 16 meV/atom
data_Tb2Pm2Pr4Sm
_symmetry_space_group_name_H-M 'C 1 2/m 1'
_symmetry_Int_Tables_number 12
_symmetry_space_group_name_Hall '-C 2y'
_cell_length_a 15.529
_cell_length_b 5.180
_cell_length_c 8.160
_cell_angle_alpha 90.00
_cell_angle_beta 108.53
_cell_angle_gamma 90.00
loop_
_atom_site_label
_atom_site_type_symbol
_atom_site_fract_x
_atom_site_fract_y
_atom_site_fract_z
Tb1 Tb 0.167 0.000 0.499
Pm1 Pm 0.112 0.500 0.169
Pr1 Pr 0.055 0.000 0.831
Pr2 Pr 0.222 0.500 0.830
Sm1 Sm 0.000 0.500 0.500

---

(11)
# TbPmPrSm GGA-PBE relaxed
# distance to the lowest polymorph of the same formula: 0.0000 eV/atom
# energy of formation: 18 meV/atom
data_TbPmPrSm
_symmetry_space_group_name_H-M 'I -4 m 2'
_symmetry_Int_Tables_number 119
_symmetry_space_group_name_Hall 'I -4 -2'
_cell_length_a 5.148
_cell_length_b 5.148
_cell_length_c 10.303
_cell_angle_alpha 90.00
_cell_angle_beta 90.00
_cell_angle_gamma 90.00
loop_
_atom_site_label
_atom_site_type_symbol
_atom_site_fract_x
_atom_site_fract_y
_atom_site_fract_z
Tb1 Tb 0.000 0.000 0.000
Pm1 Pm 0.000 0.500 0.750
Pr1 Pr 0.000 0.000 0.500
Sm1 Sm 0.000 0.500 0.250

---

(12)
# Tb6PmPrSm2 GGA-PBE relaxed
# energy of formation: 120 meV/atom
data_Tb6PmPrSm2
_symmetry_space_group_name_H-M 'C 1 2/c 1'
_symmetry_Int_Tables_number 15
_symmetry_space_group_name_Hall '-C 2yc'
_cell_length_a 9.121
_cell_length_b 15.164
_cell_length_c 9.773
_cell_angle_alpha 90.00
_cell_angle_beta 98.48
_cell_angle_gamma 90.00
loop_
_atom_site_label
_atom_site_type_symbol
_atom_site_fract_x
_atom_site_fract_y
_atom_site_fract_z
Tb1 Tb 0.068 0.189 0.443
Tb2 Tb 0.099 0.394 0.620
Tb3 Tb 0.202 0.226 0.817
Pm1 Pm 0.000 0.407 0.250
Pr1 Pr 0.000 0.021 0.750
Sm1 Sm 0.244 0.051 0.043

---

(13)
# Tb6Pm2PrSm GGA-PBE relaxed
# energy of formation: 119 meV/atom
data_Tb6Pm2PrSm
_symmetry_space_group_name_H-M 'C 1 2/c 1'
_symmetry_Int_Tables_number 15
_symmetry_space_group_name_Hall '-C 2yc'
_cell_length_a 9.116
_cell_length_b 15.172
_cell_length_c 9.790
_cell_angle_alpha 90.00
_cell_angle_beta 98.59
_cell_angle_gamma 90.00
loop_
_atom_site_label
_atom_site_type_symbol
_atom_site_fract_x
_atom_site_fract_y
_atom_site_fract_z
Tb1 Tb 0.068 0.190 0.443
Tb2 Tb 0.099 0.394 0.620
Tb3 Tb 0.202 0.226 0.816
Pm1 Pm 0.244 0.051 0.043
Pr1 Pr 0.000 0.020 0.750
Sm1 Sm 0.000 0.407 0.250

---

(14)
# Tb6PmPr2Sm3 GGA-PBE relaxed
# energy of formation: 13 meV/atom
data_Tb6PmPr2Sm3
_symmetry_space_group_name_H-M 'C 1 2/m 1'
_symmetry_Int_Tables_number 12
_symmetry_space_group_name_Hall '-C 2y'
_cell_length_a 6.265
_cell_length_b 10.849
_cell_length_c 11.914
_cell_angle_alpha 90.00
_cell_angle_beta 100.07
_cell_angle_gamma 90.00
loop_
_atom_site_label
_atom_site_type_symbol
_atom_site_fract_x
_atom_site_fract_y
_atom_site_fract_z
Tb1 Tb 0.249 0.000 0.248
Tb2 Tb 0.250 0.167 0.752
Pm1 Pm 0.000 0.000 0.500
Pr1 Pr 0.000 0.333 0.500
Sm1 Sm 0.000 0.167 0.000
Sm2 Sm 0.000 0.500 0.000

---

(15)
# Tb5PmPrSm2 GGA-PBE relaxed
# energy of formation: 257 meV/atom
data_Tb5PmPrSm2
_symmetry_space_group_name_H-M 'I 4/m c m'
_symmetry_Int_Tables_number 140
_symmetry_space_group_name_Hall '-I 4 2c'
_cell_length_a 8.730
_cell_length_b 8.730
_cell_length_c 15.699
_cell_angle_alpha 90.00
_cell_angle_beta 90.00
_cell_angle_gamma 90.00
loop_
_atom_site_label
_atom_site_type_symbol
_atom_site_fract_x
_atom_site_fract_y
_atom_site_fract_z
Tb1 Tb 0.000 0.000 0.000
Tb2 Tb 0.206 0.294 0.136
Pm1 Pm 0.000 0.000 0.250
Pr1 Pr 0.000 0.500 0.250
Sm1 Sm 0.118 0.382 0.500

---

(16)
# Tb2PmPrSm4 GGA-PBE relaxed
# energy of formation: 16 meV/atom
data_Tb2PmPrSm4
_symmetry_space_group_name_H-M 'P 1 2/m 1'
_symmetry_Int_Tables_number 10
_symmetry_space_group_name_Hall '-P 2y'
_cell_length_a 6.265
_cell_length_b 3.629
_cell_length_c 12.051
_cell_angle_alpha 90.00
_cell_angle_beta 100.13
_cell_angle_gamma 90.00
loop_
_atom_site_label
_atom_site_type_symbol
_atom_site_fract_x
_atom_site_fract_y
_atom_site_fract_z
Tb1 Tb 0.000 0.000 0.000
Tb2 Tb 0.000 0.500 0.500
Pm1 Pm 0.500 0.000 0.500
Pr1 Pr 0.500 0.500 0.000
Sm1 Sm 0.248 0.000 0.748
Sm2 Sm 0.250 0.500 0.250

---

(17)
# TbPmPrSm3 GGA-PBE relaxed
# energy of formation: 16 meV/atom
data_TbPmPrSm3
_symmetry_space_group_name_H-M 'C m c m'
_symmetry_Int_Tables_number 63
_symmetry_space_group_name_Hall '-C 2c 2'
_cell_length_a 5.136
_cell_length_b 15.448
_cell_length_c 10.275
_cell_angle_alpha 90.00
_cell_angle_beta 90.00
_cell_angle_gamma 90.00
loop_
_atom_site_label
_atom_site_type_symbol
_atom_site_fract_x
_atom_site_fract_y
_atom_site_fract_z
Tb1 Tb 0.000 0.167 0.250
Pm1 Pm 0.000 0.500 0.250
Pr1 Pr 0.000 0.000 0.000
Sm1 Sm 0.000 0.168 0.750
Sm2 Sm 0.000 0.332 0.000

---

(18)
# Tb2PmPrSm2 GGA-PBE relaxed
# energy of formation: 261 meV/atom
data_Tb2PmPrSm2
_symmetry_space_group_name_H-M 'P n n m'
_symmetry_Int_Tables_number 58
_symmetry_space_group_name_Hall '-P 2 2n'
_cell_length_a 6.652
_cell_length_b 18.139
_cell_length_c 3.429
_cell_angle_alpha 90.00
_cell_angle_beta 90.00
_cell_angle_gamma 90.00
loop_
_atom_site_label
_atom_site_type_symbol
_atom_site_fract_x
_atom_site_fract_y
_atom_site_fract_z
Tb1 Tb 0.221 0.149 0.000
Pm1 Pm 0.000 0.000 0.500
Pr1 Pr 0.000 0.500 0.500
Sm1 Sm 0.224 0.314 0.500

---

(19)
# Tb3Pm6PrSm2 GGA-PBE relaxed
# energy of formation: 14 meV/atom
data_Tb3Pm6PrSm2
_symmetry_space_group_name_H-M 'C 1 2/m 1'
_symmetry_Int_Tables_number 12
_symmetry_space_group_name_Hall '-C 2y'
_cell_length_a 6.292
_cell_length_b 10.898
_cell_length_c 12.022
_cell_angle_alpha 90.00
_cell_angle_beta 100.06
_cell_angle_gamma 90.00
loop_
_atom_site_label
_atom_site_type_symbol
_atom_site_fract_x
_atom_site_fract_y
_atom_site_fract_z
Tb1 Tb 0.000 0.000 0.000
Tb2 Tb 0.000 0.333 0.000
Pm1 Pm 0.249 0.167 0.247
Pm2 Pm 0.249 0.500 0.247
Pr1 Pr 0.000 0.500 0.500
Sm1 Sm 0.000 0.167 0.500